! LiPuVO6 (PBE+U, relaxed); values from VASP
! Total magnetic moment   2.00 μB per formula unit
! Mass density   5.9 g cm⁻³
! Uncorrected energy   -8.05 eV/atom
&SYSTEM
  ibrav = 0, nat = 18, ntyp = 4
/
ATOMIC_SPECIES
Li 6.94 Li.upf
Pu 244.00 Pu.upf
V 50.94 V.upf
O 16.00 O.upf
ATOMIC_POSITIONS crystal
Li 0.000 0.000 0.000
Li 0.000 0.000 0.500
Pu 0.333 0.667 0.250
Pu 0.667 0.333 0.750
V 0.333 0.667 0.750
V 0.667 0.333 0.250
O 0.012 0.366 0.639
O 0.012 0.645 0.861
O 0.355 0.366 0.861
O 0.355 0.988 0.639
O 0.366 0.012 0.139
O 0.366 0.355 0.361
O 0.634 0.645 0.639
O 0.634 0.988 0.861
O 0.645 0.012 0.361
O 0.645 0.634 0.139
O 0.988 0.355 0.139
O 0.988 0.634 0.361
CELL_PARAMETERS angstrom
5.280 0.000 0.000
-2.640 4.573 0.000
0.000 0.000 9.340